## FeCo2O3 (PBE with a Hubbard U)

Data for crystalline FeCo2O3 at its relaxed geometry.

Lattice parameters (Å, degrees): 4.385 9.133 6.106 90.00 90.23 90.00
Space group P2_1/c (No. 14)
One atom of each set of equivalent atoms:
1 Fe 0.250 0.084 0.124
2 Co 0.249 0.749 0.630
3 Co 0.251 0.082 0.623
4 O 0.249 0.247 0.364
5 O 0.250 0.581 0.378
6 O 0.250 0.588 0.884

## Properties
The energy comes out at -0.2283 hartree per atom. The magnetic moment comes out at 1.661 μB/atom.